1.
BaMgZnCd6 PBE-GGA relaxed; formation energy from the elements = -0.2 eV/f.u.; mass density = 6.20 g cm⁻³; energy = -20.99 eV per cell
1.0
-7.771 -2.600 -5.958
4.946 -2.343 -5.429
1.425 -3.201 8.153
Cd Mg Zn Ba
12 2 2 2
Cartesian
4.124 -4.643 0.906 Cd
-1.683 -2.216 -1.194 Cd
-0.172 -5.004 -6.206 Cd
0.232 -3.123 -3.296 Cd
-2.643 -4.574 -3.171 Cd
2.209 -3.736 3.008 Cd
-1.228 -3.140 2.973 Cd
-3.609 -4.408 -6.241 Cd
0.282 -5.929 -2.039 Cd
-1.632 -5.022 0.062 Cd
-5.524 -3.501 -4.140 Cd
1.243 -3.571 -0.063 Cd
-3.886 -1.300 -2.979 Mg
-1.413 -2.472 -5.693 Mg
-3.173 -2.901 1.097 Zn
0.713 -1.601 4.077 Zn
3.711 -2.282 -3.844 Ba
-5.111 -5.863 0.610 Ba


2.
ThScH6Ru2 PBE-GGA relaxed; mass density = 8.19 g cm⁻³; energy = -56.85 eV per cell
1.0
-0.104 4.075 -2.203
-2.944 0.659 -3.516
-4.680 3.319 1.488
H Ru Th Sc
6 2 1 1
Cartesian
-2.207 2.703 -2.256 H
-4.080 5.028 -0.253 H
-3.649 3.025 -3.978 H
-5.522 5.350 -1.974 H
-2.258 4.698 -3.335 H
-5.470 3.355 -0.896 H
-5.330 5.818 -3.605 Ru
-2.399 2.235 -0.625 Ru
0.000 0.000 0.000 Th
-3.864 4.027 -2.115 Sc


3.
Ho2MnCu3Ni12 PBE-GGA relaxed; formation energy from the elements = 4.0 eV/f.u.; mass density = 8.24 g cm⁻³; energy = -95.96 eV per cell
1.0
-8.011 -3.848 2.429
-5.935 -6.653 -2.325
-3.734 -7.866 3.010
Ho Ni Cu Mn
2 12 3 1
Cartesian
-6.180 -6.420 1.089 Ho
-11.500 -11.947 2.026 Ho
-10.583 -9.242 2.263 Ni
-7.097 -9.125 0.852 Ni
-4.699 -5.158 -1.085 Ni
-8.771 -7.551 0.625 Ni
-7.910 -8.027 2.713 Ni
-5.878 -3.566 1.613 Ni
-8.909 -10.816 2.491 Ni
-12.981 -13.208 4.200 Ni
-14.230 -12.520 1.172 Ni
-9.770 -10.340 0.402 Ni
-3.450 -5.847 1.943 Ni
-11.802 -14.801 1.502 Ni
-1.867 -3.933 1.505 Cu
-4.006 -1.924 1.215 Cu
-2.967 -3.326 -1.162 Cu
0.000 0.000 0.000 Mn


4.
Pm6SmTm4 PBE-GGA relaxed; formation energy from the elements = 3.4 eV/f.u.; mass density = 7.46 g cm⁻³; energy = -47.68 eV per cell
1.0
-1.308 4.638 -4.583
3.421 -3.491 -4.509
-8.178 -4.737 2.366
Tm Pm Sm
4 6 1
Cartesian
-0.063 -0.110 -8.013 Tm
-1.418 -0.845 -2.180 Tm
-3.808 -5.720 -1.606 Tm
-6.841 -0.505 -1.654 Tm
-5.004 -2.909 0.312 Pm
-4.204 -2.475 -3.131 Pm
-0.565 -2.438 -5.303 Pm
-0.654 2.319 -2.292 Pm
-2.356 0.641 -5.331 Pm
1.711 -1.746 -2.255 Pm
1.057 0.573 -4.546 Sm


- energy of number 1 (BaMgZnCd6)?
  -20.99 eV per cell


Please write out number 2 again, unchanged.
ThScH6Ru2 PBE-GGA relaxed; mass density = 8.19 g cm⁻³; energy = -56.85 eV per cell
1.0
-0.104 4.075 -2.203
-2.944 0.659 -3.516
-4.680 3.319 1.488
H Ru Th Sc
6 2 1 1
Cartesian
-2.207 2.703 -2.256 H
-4.080 5.028 -0.253 H
-3.649 3.025 -3.978 H
-5.522 5.350 -1.974 H
-2.258 4.698 -3.335 H
-5.470 3.355 -0.896 H
-5.330 5.818 -3.605 Ru
-2.399 2.235 -0.625 Ru
0.000 0.000 0.000 Th
-3.864 4.027 -2.115 Sc


- Number 2 is which compound?
  ThScH6Ru2